No. 1
# Al2SiP (SCAN, single point on PBEsol structure)
# - DOS at the Fermi energy (states/eV/atom) = 0.4713
# - formation energy (no corrections) (eV/atom) = 0.28
# - crystal system = cubic
data_Al2SiP
_space_group_name_H-M_alt 'F m -3 m'
_space_group_IT_number 225
_space_group_name_Hall '-F 4 2 3'
_cell_length_a 6.236
_cell_length_b 6.236
_cell_length_c 6.236
_cell_angle_alpha 90.00
_cell_angle_beta 90.00
_cell_angle_gamma 90.00
loop_
_atom_site_label
_atom_site_fract_x
_atom_site_fract_y
_atom_site_fract_z
_atom_site_occupancy
Al1 0.250 0.250 0.250 1
Si1 0.000 0.000 0.000 1
P1 0.000 0.000 0.500 1

=====

No. 2
# AlSiP2 (SCAN, single point on PBEsol structure)
# - DOS at the Fermi energy (states/eV/atom) = 0.4249
# - formation energy (no corrections) (eV/atom) = 0.42
# - crystal system = tetragonal
data_AlSiP2
_space_group_name_H-M_alt 'P 4/m m m'
_space_group_IT_number 123
_space_group_name_Hall '-P 4 2'
_cell_length_a 3.024
_cell_length_b 3.024
_cell_length_c 6.206
_cell_angle_alpha 90.00
_cell_angle_beta 90.00
_cell_angle_gamma 90.00
loop_
_atom_site_label
_atom_site_fract_x
_atom_site_fract_y
_atom_site_fract_z
_atom_site_occupancy
Al1 0.000 0.000 0.000 1
Si1 0.000 0.000 0.500 1
P1 0.500 0.500 0.260 1

=====

No. 3
# AlSi2P (SCAN, single point on PBEsol structure)
# - DOS at the Fermi energy (states/eV/atom) = 0.3619
# - formation energy (no corrections) (eV/atom) = 0.36
# - crystal system = orthorhombic
data_AlSi2P
_space_group_name_H-M_alt 'I m m m'
_space_group_IT_number 71
_space_group_name_Hall '-I 2 2'
_cell_length_a 3.119
_cell_length_b 4.294
_cell_length_c 8.663
_cell_angle_alpha 90.00
_cell_angle_beta 90.00
_cell_angle_gamma 90.00
loop_
_atom_site_label
_atom_site_fract_x
_atom_site_fract_y
_atom_site_fract_z
_atom_site_occupancy
Al1 0.000 0.000 0.000 1
Si1 0.000 0.500 0.220 1
P1 0.000 0.000 0.500 1

=====

No. 4
# AlSiP2 (SCAN, single point on PBEsol structure)
# - DOS at the Fermi energy (states/eV/atom) = 0.2651
# - formation energy (no corrections) (eV/atom) = -0.12
# - crystal system = tetragonal
data_AlSiP2
_space_group_name_H-M_alt 'P 4/m m m'
_space_group_IT_number 123
_space_group_name_Hall '-P 4 2'
_cell_length_a 3.517
_cell_length_b 3.517
_cell_length_c 5.013
_cell_angle_alpha 90.00
_cell_angle_beta 90.00
_cell_angle_gamma 90.00
loop_
_atom_site_label
_atom_site_fract_x
_atom_site_fract_y
_atom_site_fract_z
_atom_site_occupancy
Al1 0.000 0.000 0.000 1
Si1 0.500 0.500 0.500 1
P1 0.000 0.000 0.500 1
P2 0.500 0.500 0.000 1

=====

| no. | electronic total energy (eV/atom) |
| --- | --- |
| 1 | -8.700 |
| 2 | -9.222 |
| 3 | -9.188 |
| 4 | -9.758 |